[1]
## CdRe2Mo (PBE)

Data for an optimized crystal structure of CdRe2Mo.

Geometry as POSCAR:
```
CdRe2Mo
1.0
-0.8983 0.1417 2.6891
0.4522 -4.0456 0.3643
5.4265 0.7662 1.7723
Re Cd Mo
2 1 1
direct
0.0000 0.0000 0.9622
0.0000 0.0000 0.5378
0.5000 0.5000 0.2500
0.5000 0.5000 0.7500
```

The calculation puts the total magnetic moment at 0.0 μB per formula unit. As for the crystal system: orthorhombic. The total energy comes out at -8.70 eV/atom. The volume comes out at 66.8 Å³/f.u.

---

[2]
## Cd2ReMo (PBE)

Data for an optimized crystal structure of Cd2ReMo.

Geometry as POSCAR:
```
Cd2ReMo
1.0
-0.5081 -5.2726 1.1335
1.2652 -3.6505 -3.7970
2.2072 4.4086 2.2442
Cd Mo Re
2 1 1
direct
0.5000 0.5000 0.0000
0.0000 0.0000 0.0000
0.2500 0.7500 0.5000
0.7500 0.2500 0.5000
```

The calculation puts the total magnetic moment at 0.0 μB per formula unit. As for the crystal system: tetragonal. The total energy comes out at -5.63 eV/atom. The value obtained for the energy above the most stable polymorph in this dataset is 374 meV per atom. The volume comes out at 70.3 Å³/f.u.